Computed, not measured: an optimized crystal structure of K2LaC2 at the PBE level of DFT.

Summary:
E_tot: -16.20 eV for the cell shown
space-group type: No. 139
distance to the lowest polymorph of the same formula: 0.73 eV per formula unit
calculated volume: 113.92 Å³/cell
calculated density: 3515 kg/m3
formation enthalpy at 0 K: 1.874 eV/atom

extended XYZ file:
```
5
Lattice="-0.993 3.496 -3.455 3.014 -2.351 -3.245 -2.497 -1.885 -4.828" Properties=species:S:1:pos:R:3 pbc="T T T"
K -0.455 -0.589 -7.743
K -0.021 -0.150 -3.785
C 0.764 -1.832 -5.711
C -1.240 1.092 -5.816
La 0.000 0.000 0.000
```